TaCo2SnO after structural relaxation, computed with PBE with a Hubbard U.

abc: 3.9817 3.9817 4.6795
angles: 90.00 90.00 90.00
Closest atoms and distances in Å follow each position.
Fractional positions:
Ta1 0.0000 0.0000 0.0000  4 Sn 2.82, 8 Co 3.07
Co1 0.0000 0.5000 0.5000  2 O 1.99
Co2 0.5000 0.0000 0.5000  2 O 1.99
Sn1 0.5000 0.5000 0.0000  2 O 2.34
O1 0.5000 0.5000 0.5000  4 Co 1.99

E_tot (eV/atom): -5.997